(1)
## Ba2CoPbO5 (GGA+U)

Data for crystalline Ba2CoPbO5 at its relaxed geometry.

Calculated total energy: -5.879 eV/atom
Total moment: 0.33 μB per atom

Geometry as CIF:
```
data_Ba2CoPbO5
_cell_length_a 3.5791
_cell_length_b 15.1678
_cell_length_c 11.2908
_cell_angle_alpha 90.00
_cell_angle_beta 90.00
_cell_angle_gamma 90.00
_space_group_name_H-M_alt 'C m c 21'
_space_group_IT_number 36
_space_group_name_Hall 'C 2c -2'
loop_
_atom_site_label
_atom_site_type_symbol
_atom_site_fract_x
_atom_site_fract_y
_atom_site_fract_z
Ba1 Ba 0.0000 0.1028 0.0000
Ba2 Ba 0.0000 0.1321 0.6342
Co1 Co 0.0000 0.4502 0.7598
Pb1 Pb 0.0000 0.2081 0.3402
O1 O 0.0000 0.0582 0.3397
O2 O 0.0000 0.2866 0.9722
O3 O 0.0000 0.3176 0.7119
O4 O 0.0000 0.3495 0.3221
O5 O 0.0000 0.4966 0.1087
```

---

(2)
## Ba2Co2PdO6 (GGA+U)

Data for crystalline Ba2Co2PdO6 at its relaxed geometry.

Calculated total energy: -5.873 eV/atom
Total moment: 0.55 μB per atom

Geometry as CIF:
```
data_Ba2Co2PdO6
_cell_length_a 5.9372
_cell_length_b 5.9372
_cell_length_c 16.6656
_cell_angle_alpha 90.00
_cell_angle_beta 90.00
_cell_angle_gamma 120.00
_space_group_name_H-M_alt 'R -3 m'
_space_group_IT_number 166
_space_group_name_Hall '-R 3 2"'
loop_
_atom_site_label
_atom_site_type_symbol
_atom_site_fract_x
_atom_site_fract_y
_atom_site_fract_z
Ba1 Ba 0.0000 0.0000 0.2191
Co1 Co 0.0000 0.0000 0.4154
Pd1 Pd 0.0000 0.0000 0.0000
O1 O 0.0127 0.5063 0.7500
```

---

(3)
## Ba3Co2PdO6 (GGA+U)

Data for crystalline Ba3Co2PdO6 at its relaxed geometry.

Calculated total energy: -5.688 eV/atom
Total moment: 0.46 μB per atom

Geometry as CIF:
```
data_Ba3Co2PdO6
_cell_length_a 6.0453
_cell_length_b 6.0453
_cell_length_c 7.0615
_cell_angle_alpha 90.00
_cell_angle_beta 90.00
_cell_angle_gamma 120.00
_space_group_name_H-M_alt 'P -3 m 1'
_space_group_IT_number 164
_space_group_name_Hall '-P 3 2"'
loop_
_atom_site_label
_atom_site_type_symbol
_atom_site_fract_x
_atom_site_fract_y
_atom_site_fract_z
Ba1 Ba 0.0000 0.0000 0.0000
Ba2 Ba 0.3333 0.6667 0.6710
Co1 Co 0.3333 0.6667 0.2478
Pd1 Pd 0.0000 0.0000 0.5000
O1 O 0.1634 0.3268 0.2895
```

---

(4)
## BaPmCo2O5 (GGA+U)

Data for crystalline BaPmCo2O5 at its relaxed geometry.

Calculated total energy: -6.597 eV/atom
Total moment: 0.67 μB per atom

Geometry as CIF:
```
data_BaPmCo2O5
_cell_length_a 3.9849
_cell_length_b 3.9849
_cell_length_c 7.5134
_cell_angle_alpha 90.00
_cell_angle_beta 90.00
_cell_angle_gamma 90.00
_space_group_name_H-M_alt 'P 4/m m m'
_space_group_IT_number 123
_space_group_name_Hall '-P 4 2'
loop_
_atom_site_label
_atom_site_type_symbol
_atom_site_fract_x
_atom_site_fract_y
_atom_site_fract_z
Ba1 Ba 0.0000 0.0000 0.0000
Pm1 Pm 0.0000 0.0000 0.5000
Co1 Co 0.5000 0.5000 0.2511
O1 O 0.0000 0.5000 0.3030
O2 O 0.5000 0.5000 0.0000
```

---

(5)
## Ba2PmCo2O6 (GGA+U)

Data for crystalline Ba2PmCo2O6 at its relaxed geometry.

Calculated total energy: -6.464 eV/atom
Total moment: 0.64 μB per atom

Geometry as CIF:
```
data_Ba2PmCo2O6
_cell_length_a 6.1114
_cell_length_b 6.1114
_cell_length_c 17.9215
_cell_angle_alpha 90.00
_cell_angle_beta 90.00
_cell_angle_gamma 120.00
_space_group_name_H-M_alt 'R -3 m'
_space_group_IT_number 166
_space_group_name_Hall '-R 3 2"'
loop_
_atom_site_label
_atom_site_type_symbol
_atom_site_fract_x
_atom_site_fract_y
_atom_site_fract_z
Ba1 Ba 0.0000 0.0000 0.2106
Pm1 Pm 0.0000 0.0000 0.0000
Co1 Co 0.0000 0.0000 0.4204
O1 O 0.0077 0.5038 0.7549
```

---

(6)
## BaPmCoO4 (GGA+U)

Data for crystalline BaPmCoO4 at its relaxed geometry.

Calculated total energy: -6.809 eV/atom
Total moment: 0.58 μB per atom

Geometry as CIF:
```
data_BaPmCoO4
_cell_length_a 5.8482
_cell_length_b 5.8528
_cell_length_c 7.2529
_cell_angle_alpha 90.00
_cell_angle_beta 108.04
_cell_angle_gamma 90.00
_space_group_name_H-M_alt 'P 1 21/m 1'
_space_group_IT_number 11
_space_group_name_Hall '-P 2yb'
loop_
_atom_site_label
_atom_site_type_symbol
_atom_site_fract_x
_atom_site_fract_y
_atom_site_fract_z
Ba1 Ba 0.2286 0.2500 0.4363
Pm1 Pm 0.3098 0.2500 0.9597
Co1 Co 0.2301 0.7500 0.1702
O1 O 0.0412 0.7500 0.9238
O2 O 0.0522 0.7500 0.3363
O3 O 0.4754 0.5153 0.2064
```

---

(7)
## BaPrCoO4 (GGA+U)

Data for crystalline BaPrCoO4 at its relaxed geometry.

Calculated total energy: -6.778 eV/atom
Total moment: 0.29 μB per atom

Geometry as CIF:
```
data_BaPrCoO4
_cell_length_a 3.8987
_cell_length_b 3.8987
_cell_length_c 13.1042
_cell_angle_alpha 90.00
_cell_angle_beta 90.00
_cell_angle_gamma 90.00
_space_group_name_H-M_alt 'I 4 m m'
_space_group_IT_number 107
_space_group_name_Hall 'I 4 -2'
loop_
_atom_site_label
_atom_site_type_symbol
_atom_site_fract_x
_atom_site_fract_y
_atom_site_fract_z
Ba1 Ba 0.0000 0.0000 0.0000
Pr1 Pr 0.0000 0.0000 0.7174
Co1 Co 0.0000 0.0000 0.3509
O1 O 0.0000 0.0000 0.1976
O2 O 0.0000 0.0000 0.5366
O3 O 0.0000 0.5000 0.3411
```

---

(8)
## Ba2Pr2Co4O11 (GGA+U)

Data for crystalline Ba2Pr2Co4O11 at its relaxed geometry.

ΔE to the lowest computed polymorph: 0.0000 eV per atom
Total moment: 0.63 μB per atom

Geometry as CIF:
```
data_Ba2Pr2Co4O11
_cell_length_a 5.6473
_cell_length_b 5.6473
_cell_length_c 15.4039
_cell_angle_alpha 90.00
_cell_angle_beta 90.00
_cell_angle_gamma 90.00
_space_group_name_H-M_alt 'I 4/m m m'
_space_group_IT_number 139
_space_group_name_Hall '-I 4 2'
loop_
_atom_site_label
_atom_site_type_symbol
_atom_site_fract_x
_atom_site_fract_y
_atom_site_fract_z
Ba1 Ba 0.0000 0.5000 0.2500
Pr1 Pr 0.0000 0.5000 0.0000
Co1 Co 0.0000 0.0000 0.1212
Co2 Co 0.0000 0.0000 0.3770
O1 O 0.0000 0.0000 0.0000
O2 O 0.0000 0.0000 0.2382
O3 O 0.2361 0.2361 0.3955
```